The following is a GGA-PBE calculation of a geometry-optimized Bi2Te3Au structure, from Alexandria via LeMat-Bulk.

abc: 8.303 8.303 6.762
angles: 90.00 90.00 73.34
Fractional positions:
Bi (0.043, 0.697, 0.500)
Bi (0.303, 0.957, 0.500)
Bi (0.697, 0.043, 0.000)
Bi (0.957, 0.303, 0.000)
Te (0.004, 0.329, 0.441)
Te (0.329, 0.004, 0.941)
Te (0.419, 0.581, 0.461)
Te (0.581, 0.419, 0.961)
Te (0.671, 0.996, 0.441)
Te (0.996, 0.671, 0.941)
Au (0.277, 0.723, 0.110)
Au (0.723, 0.277, 0.610)

## Properties
Its calculated density is 7.42 g/cm3. For the density of states at the Fermi level, the calculation gives 2.30 states/eV/f.u. The calculation puts the spin magnetization at 0.000 Bohr magnetons per cell. Its electronic total energy is -3.4528 eV per atom.